Nd2Tm5Sc4 after structural relaxation, computed with PBE.

abc: 8.3808 3.4502 11.3186
angles: 90.00 98.16 90.00
Atoms (fractional coordinates):
Nd1 0.0485 0.0000 0.1400
Nd2 0.9515 0.0000 0.8600
Tm1 0.1575 0.0000 0.6343
Tm2 0.4518 0.0000 0.2010
Tm3 0.5000 0.0000 0.5000
Tm4 0.5482 0.0000 0.7990
Tm5 0.8425 0.0000 0.3657
Sc1 0.1893 0.5000 0.3818
Sc2 0.3028 0.5000 0.9523
Sc3 0.6972 0.5000 0.0477
Sc4 0.8107 0.5000 0.6182

## Properties
* symmetry: P2/m, No. 10
* crystal system: monoclinic
* total energy: -55.7 eV per cell
* offset from the most stable computed form: 0.0 meV per atom
* calculated density: 6.730 g/cm3
* DFT formation energy: 0.13 eV/atom


LiPm2HgO5 after structural relaxation, computed with PBE.

abc: 6.7061 6.7061 5.5953
angles: 90.00 90.00 90.00
Atoms (fractional coordinates):
Li1 0.0000 0.5000 0.0000
Li2 0.5000 0.0000 0.0000
Pm1 0.1690 0.3310 0.5000
Pm2 0.3310 0.8310 0.5000
Pm3 0.6690 0.1690 0.5000
Pm4 0.8310 0.6690 0.5000
Hg1 0.0000 0.0000 0.0000
Hg2 0.5000 0.5000 0.0000
O1 0.0000 0.0000 0.5000
O2 0.1415 0.6415 0.2471
O3 0.1415 0.6415 0.7529
O4 0.3585 0.1415 0.2471
O5 0.3585 0.1415 0.7529
O6 0.5000 0.5000 0.5000
O7 0.6415 0.8585 0.2471
O8 0.6415 0.8585 0.7529
O9 0.8585 0.3585 0.2471
O10 0.8585 0.3585 0.7529

## Properties
* symmetry: P4/mbm, No. 127
* crystal system: tetragonal
* total energy: -108.2 eV per cell
* calculated density: 7.622 g/cm3